Material: CeMgIrRu
Method: DFT, GGA-PBE
State: optimized geometry

N(E_F)   2.0 states/eV/f.u.
ΔE_f   -37.49 kJ per mole of atoms

Cell lengths 4.680, 4.680, 4.680 Å; angles 60.00, 60.00, 60.00 degrees
Atoms (fractional coordinates):
Ir1 0.250 0.250 0.250
Mg1 0.500 0.500 0.500
Ru1 0.750 0.750 0.750
Ce1 0.000 0.000 0.000



Material: Ce2MgSi3Ir4
Method: DFT, GGA-PBE
State: optimized geometry

Energy relative to the elements, uncorrected   -0.92 eV/atom
N(E_F)   10.4 states/eV/f.u.

Cell lengths 4.120, 4.120, 10.426 Å; angles 90.00, 90.00, 90.00 degrees
Each line ends with the local moment (μB).
Atoms (fractional coordinates):
Si1 0.000 0.500 0.124  0.00
Si2 0.000 0.000 0.500  0.00
Si3 0.500 0.000 0.876  0.00
Mg1 0.500 0.500 0.500  0.00
Ir1 0.500 0.500 0.000  0.01
Ir2 0.000 0.500 0.352  -0.01
Ir3 0.500 0.000 0.648  -0.01
Ir4 0.000 0.000 0.000  0.00
Ce1 0.000 0.500 0.750  0.38
Ce2 0.500 0.000 0.250  0.38



Material: Ce2MgSi2Ir5
Method: DFT, GGA-PBE
State: optimized geometry

Energy relative to the elements, uncorrected   -0.71 eV/atom
N(E_F)   7.9 states/eV/f.u.

Cell lengths 3.603, 9.823, 9.823 Å; angles 90.00, 90.00, 90.00 degrees
Each line ends with the local moment (μB).
Atoms (fractional coordinates):
Si1 0.000 0.877 0.377  0.00
Si2 0.000 0.123 0.623  0.00
Si3 0.000 0.623 0.877  0.00
Si4 0.000 0.377 0.123  0.00
Ce1 0.000 0.323 0.823  0.34
Ce2 0.000 0.677 0.177  0.34
Ce3 0.000 0.823 0.677  0.34
Ce4 0.000 0.177 0.323  0.34
Mg1 0.000 0.000 0.000  0.00
Mg2 0.000 0.500 0.500  0.00
Ir1 0.500 0.432 0.282  -0.02
Ir2 0.500 0.718 0.432  -0.02
Ir3 0.500 0.500 0.000  -0.02
Ir4 0.500 0.000 0.500  -0.02
Ir5 0.500 0.068 0.782  -0.02
Ir6 0.500 0.218 0.068  -0.02
Ir7 0.500 0.932 0.218  -0.02
Ir8 0.500 0.568 0.718  -0.02
Ir9 0.500 0.782 0.932  -0.02
Ir10 0.500 0.282 0.568  -0.02



Material: CeMgTcIr
Method: DFT, GGA-PBE
State: optimized geometry

N(E_F)   2.7 states/eV/f.u.
ΔE_f   -19.19 kJ per mole of atoms

Cell lengths 4.679, 4.679, 4.679 Å; angles 60.00, 60.00, 60.00 degrees
Atoms (fractional coordinates):
Tc1 0.250 0.250 0.250
Ce1 0.500 0.500 0.500
Ir1 0.750 0.750 0.750
Mg1 0.000 0.000 0.000



Material: CeMgTlIr
Method: DFT, GGA-PBE
State: optimized geometry

N(E_F)   4.6 states/eV/f.u.
ΔE_f   -23.19 kJ per mole of atoms

Cell lengths 4.987, 4.987, 4.987 Å; angles 60.00, 60.00, 60.00 degrees
Each line ends with the local moment (μB).
Atoms (fractional coordinates):
Ir1 0.000 0.000 0.000  -0.01
Mg1 0.250 0.250 0.250  0.00
Ce1 0.750 0.750 0.750  0.18
Tl1 0.500 0.500 0.500  0.00



Material: CeYMgIr
Method: DFT, GGA-PBE
State: optimized geometry

N(E_F)   6.0 states/eV/f.u.
ΔE_f   -32.27 kJ per mole of atoms

Cell lengths 5.075, 5.075, 5.075 Å; angles 60.00, 60.00, 60.00 degrees
Each line ends with the local moment (μB).
Atoms (fractional coordinates):
Ce1 0.750 0.750 0.750  0.49
Y1 0.250 0.250 0.250  0.01
Ir1 0.000 0.000 0.000  -0.03
Mg1 0.500 0.500 0.500  0.00



Material: CeMnIr
Method: DFT, GGA-PBE
State: optimized geometry

N(E_F)   4.6 states/eV/f.u.
ΔE_f   -17.84 kJ per mole of atoms

Cell lengths 5.356, 5.356, 5.406 Å; angles 105.92, 105.92, 116.50 degrees
Each line ends with the local moment (μB).
Atoms (fractional coordinates):
Ir1 0.250 0.750 0.500  0.09
Ir2 0.750 0.250 0.500  0.09
Ce1 0.658 0.342 0.000  -0.70
Ce2 0.342 0.658 0.000  -0.70
Mn1 0.822 0.822 0.644  3.61
Mn2 0.178 0.178 0.356  3.61



Material: Ce3MnIr8
Method: DFT, GGA-PBE
State: optimized geometry

N(E_F)   15.4 states/eV/f.u.
ΔE_f   -54.18 kJ per mole of atoms

Cell lengths 5.349, 5.349, 9.257 Å; angles 73.21, 73.21, 60.00 degrees
Each line ends with the local moment (μB).
Atoms (fractional coordinates):
Ir1 0.563 0.062 0.812  0.03
Ir2 0.312 0.312 0.065  0.01
Ir3 0.061 0.560 0.318  0.04
Ir4 0.061 0.061 0.318  0.04
Ir5 0.811 0.811 0.566  0.10
Ir6 0.062 0.563 0.812  0.03
Ir7 0.563 0.563 0.812  0.03
Ir8 0.560 0.061 0.318  0.04
Mn1 0.132 0.132 0.604  4.00
Ce1 0.006 0.006 0.982  0.07
Ce2 0.496 0.496 0.513  -0.01
Ce3 0.623 0.623 0.131  -0.20



Material: Ce4MnIr
Method: DFT, GGA-PBE
State: optimized geometry

N(E_F)   13.0 states/eV/f.u.
ΔE_f   -21.48 kJ per mole of atoms

Cell lengths 5.874, 7.426, 7.426 Å; angles 109.43, 105.17, 105.17 degrees
Atoms (fractional coordinates):
Ce1 0.307 0.764 0.601
Ce2 0.081 0.942 0.284
Ce3 0.581 0.284 0.942
Ce4 0.419 0.716 0.058
Ce5 0.693 0.236 0.399
Ce6 0.193 0.399 0.236
Ce7 0.807 0.601 0.764
Ce8 0.919 0.058 0.716
Ir1 0.750 0.631 0.369
Ir2 0.250 0.369 0.631
Mn1 0.750 0.001 0.999
Mn2 0.250 0.999 0.001



Material: CeMnIr
Method: DFT, GGA-PBE
State: optimized geometry

N(E_F)   5.0 states/eV/f.u.
ΔE_f   -46.84 kJ per mole of atoms

Cell lengths 5.205, 5.303, 5.303 Å; angles 63.01, 60.61, 60.61 degrees
Each line ends with the local moment (μB).
Atoms (fractional coordinates):
Ir1 0.500 0.000 0.500  0.10
Ir2 0.500 0.500 0.000  0.10
Ce1 0.127 0.623 0.623  -0.59
Ce2 0.873 0.377 0.377  -0.59
Mn1 0.500 0.000 0.000  2.72
Mn2 0.000 0.000 0.000  2.72



Material: CeMn17Ir
Method: DFT, GGA-PBE
State: optimized geometry

N(E_F)   24.4 states/eV/f.u.
ΔE_f   10.82 kJ per mole of atoms

Cell lengths 6.213, 6.213, 6.213 Å; angles 85.38, 85.38, 85.38 degrees
Each line ends with the local moment (μB).
Atoms (fractional coordinates):
Mn1 0.007 0.007 0.491  0.37
Mn2 0.276 0.993 0.724  -0.80
Mn3 0.993 0.276 0.724  -0.80
Mn4 0.376 0.847 0.376  2.17
Mn5 0.724 0.276 0.993  -0.80
Mn6 0.644 0.100 0.644  1.65
Mn7 0.007 0.491 0.007  0.37
Mn8 0.890 0.890 0.890  -2.25
Mn9 0.109 0.109 0.109  -1.99
Mn10 0.724 0.993 0.276  -0.80
Mn11 0.644 0.644 0.100  1.65
Mn12 0.847 0.376 0.376  2.17
Mn13 0.491 0.007 0.007  0.37
Mn14 0.276 0.724 0.993  -0.80
Mn15 0.376 0.376 0.847  2.17
Mn16 0.993 0.724 0.276  -0.80
Mn17 0.100 0.644 0.644  1.65
Ce1 0.361 0.361 0.361  -0.05
Ir1 0.663 0.663 0.663  -0.09



Material: Ce2MnP3Ir4
Method: DFT, GGA-PBE
State: optimized geometry

N(E_F)   6.1 states/eV/f.u.
ΔE_f   -86.62 kJ per mole of atoms

Cell lengths 4.066, 4.066, 10.073 Å; angles 90.00, 90.00, 90.00 degrees
Each line ends with the local moment (μB).
Atoms (fractional coordinates):
Ce1 0.500 0.000 0.251  -0.01
Ce2 0.000 0.500 0.749  -0.01
Ir1 0.000 0.000 0.000  -0.02
Ir2 0.000 0.500 0.367  -0.02
Ir3 0.500 0.500 0.000  -0.01
Ir4 0.500 0.000 0.633  -0.02
P1 0.500 0.000 0.864  -0.01
P2 0.000 0.500 0.136  -0.01
P3 0.000 0.000 0.500  0.01
Mn1 0.500 0.500 0.500  2.66



Quick rundown of energy, same order as above: -6.80, -7.44, -7.57, -6.89, -4.93, -6.05, -8.17, -8.72, -7.18, -8.47, -8.87, -8.17 eV/atom